# NdSm4Ho4

A relaxed structure of NdSm4Ho4 (PBE, Alexandria via LeMat-Bulk).

a = 10.7672 Å, b = 9.4948 Å, c = 10.7605 Å
α = 75.47°, β = 93.12°, γ = 145.03°
Positions (direct):
Ho  0.7789  0.6946  0.4726
Ho  0.6680  0.4160  0.0851
Ho  0.5569  0.1386  0.6927
Ho  0.4431  0.8614  0.3073
Ho  0.3320  0.5840  0.9149
Ho  0.1119  0.5287  0.6375
Ho  0.8881  0.4713  0.3625
Ho  0.2211  0.3054  0.5274
Sm  0.0006  0.7499  0.7491
Sm  0.6665  0.9183  0.5825
Sm  0.9994  0.2501  0.2509
Sm  0.2231  0.8059  0.0285
Sm  0.3335  0.0817  0.4175
Sm  0.1105  0.0264  0.1403
Sm  0.7769  0.1941  0.9715
Sm  0.8895  0.9736  0.8597
Nd  0.5546  0.6387  0.1959
Nd  0.4454  0.3613  0.8041

Values from the calculation:
M_tot: 0.0 Bohr magnetons per cell
E_tot: -4.645 eV per atom
SG: P-1 (2)

***

# NdSm14Ho

A relaxed structure of NdSm14Ho (PBE, Alexandria via LeMat-Bulk).

a = 7.2789 Å, b = 7.2789 Å, c = 11.7245 Å
α = 90.00°, β = 90.00°, γ = 120.00°
Positions (direct):
Nd  0.7085  0.2915  0.5000
Sm  0.5419  0.4581  0.0000
Sm  0.3748  0.6252  0.2515
Sm  0.7087  0.7929  0.5000
Sm  0.5413  0.9576  0.0000
Sm  0.8757  0.6255  0.2507
Sm  0.8751  0.1249  0.7512
Sm  0.2071  0.2913  0.5000
Sm  0.0421  0.9579  0.0000
Sm  0.8751  0.1249  0.2488
Sm  0.3745  0.1243  0.7493
Sm  0.3745  0.1243  0.2507
Sm  0.3748  0.6252  0.7485
Sm  0.8757  0.6255  0.7493
Sm  0.0424  0.4587  0.0000
Ho  0.2080  0.7920  0.5000

Values from the calculation:
M_tot: 0.0 Bohr magnetons per cell
E_tot: -4.713 eV per atom
SG: Amm2 (38)

***

# Nd4Sm4Ho

A relaxed structure of Nd4Sm4Ho (PBE, Alexandria via LeMat-Bulk).

a = 5.1546 Å, b = 8.1390 Å, c = 9.6160 Å
α = 53.77°, β = 74.46°, γ = 71.54°
Positions (direct):
Nd  0.1654  0.6695  0.9996
Nd  0.7218  0.8898  0.6667
Nd  0.2782  0.1102  0.3333
Nd  0.8346  0.3305  0.0004
Sm  0.6103  0.4473  0.3320
Sm  0.0550  0.2235  0.6665
Sm  0.3897  0.5527  0.6680
Sm  0.9450  0.7765  0.3335
Ho  0.5000  0.0000  0.0000

Values from the calculation:
M_tot: 0.0 Bohr magnetons per cell
E_tot: -4.710 eV per atom
SG: C2/m (12)

***

# Nd3Sm6Ho2

A relaxed structure of Nd3Sm6Ho2 (PBE, Alexandria via LeMat-Bulk).

a = 4.8179 Å, b = 4.8179 Å, c = 17.1285 Å
α = 98.08°, β = 98.08°, γ = 90.00°
Positions (direct):
Nd  0.2017  0.2017  0.4035
Nd  0.0000  0.0000  0.0000
Nd  0.7983  0.7983  0.5965
Sm  0.1195  0.6195  0.2390
Sm  0.3046  0.3046  0.6091
Sm  0.6954  0.6954  0.3909
Sm  0.8805  0.3805  0.7610
Sm  0.6195  0.1195  0.2390
Sm  0.3805  0.8805  0.7610
Ho  0.5456  0.5456  0.0912
Ho  0.4544  0.4544  0.9088

Values from the calculation:
M_tot: 0.0 Bohr magnetons per cell
E_tot: -4.435 eV per atom
SG: I4/mmm (139)
Energy above the lowest structure with this stoichiometry: 0.0 kJ per mole of atoms

***

# Nd12Sm2Ho7

A relaxed structure of Nd12Sm2Ho7 (PBE, Alexandria via LeMat-Bulk).

a = 3.5847 Å, b = 15.1246 Å, c = 15.1246 Å
α = 120.00°, β = 90.00°, γ = 90.00°
Positions (direct):
Nd  0.0000  0.2525  0.0456
Nd  0.5000  0.4114  0.2817
Nd  0.0000  0.9544  0.2069
Nd  0.5000  0.7183  0.1298
Nd  0.5000  0.2691  0.8382
Nd  0.0000  0.7931  0.7475
Nd  0.5000  0.8702  0.5886
Nd  0.5000  0.5691  0.7309
Nd  0.5000  0.1618  0.4309
Nd  0.0000  0.0806  0.5963
Nd  0.0000  0.4037  0.4843
Nd  0.0000  0.5157  0.9194
Ho  0.0000  0.3333  0.6667
Ho  0.0000  0.7659  0.9535
Ho  0.5000  0.6213  0.5193
Ho  0.0000  0.1876  0.2341
Ho  0.0000  0.0465  0.8124
Ho  0.5000  0.8980  0.3787
Ho  0.5000  0.4807  0.1020
Sm  0.0000  0.6667  0.3333
Sm  0.5000  0.0000  0.0000

Values from the calculation:
M_tot: 0.0 Bohr magnetons per cell
E_tot: -4.656 eV per atom
SG: P-6 (174)

***

# Nd3Sm2Ho7

A relaxed structure of Nd3Sm2Ho7 (PBE, Alexandria via LeMat-Bulk).

a = 3.5388 Å, b = 6.3606 Å, c = 18.0278 Å
α = 75.75°, β = 90.00°, γ = 90.00°
Positions (direct):
Ho  0.5000  0.7539  0.5001
Ho  0.5000  0.0593  0.1651
Ho  0.0000  0.5640  0.1644
Ho  0.0000  0.0000  0.0000
Ho  0.5000  0.2461  0.4999
Ho  0.5000  0.9407  0.8349
Ho  0.0000  0.4360  0.8356
Nd  0.0000  0.1127  0.3407
Nd  0.5000  0.5000  0.0000
Nd  0.0000  0.8873  0.6593
Sm  0.5000  0.3818  0.6736
Sm  0.5000  0.6182  0.3264

Values from the calculation:
M_tot: 0.0 Bohr magnetons per cell
E_tot: -4.563 eV per atom
SG: P2/m (10)